1.
NbSbS | PBE-GGA | relaxed

Computed properties:
Uncorrected formation energy, eV/atom: -0.4149
Uncorrected energy, eV for the cell shown: -117.386
Total moment, μB/f.u.: 0.0

Cell: 8.081 8.081 9.275 Å, 110.06 110.06 52.04°
Fractional coordinates of all 18 atoms:
Nb1 0.022 0.978 0.500
Nb2 0.319 0.550 0.580
Nb3 0.550 0.319 0.080
Nb4 0.796 0.892 0.119
Nb5 0.892 0.796 0.619
Nb6 0.978 0.022 0.000
Sb1 0.224 0.581 0.268
Sb2 0.418 0.762 0.184
Sb3 0.465 0.826 0.530
Sb4 0.581 0.224 0.768
Sb5 0.762 0.418 0.684
Sb6 0.826 0.465 0.030
S1 0.090 0.432 0.487
S2 0.162 0.882 0.760
S3 0.432 0.090 0.987
S4 0.714 0.963 0.389
S5 0.882 0.162 0.260
S6 0.963 0.714 0.889

2.
Sc2TlAs | PBE-GGA | relaxed

Computed properties:
Formation energy, meV per atom: 35
Uncorrected energy, eV for the cell shown: -19.538
Total moment, μB/f.u.: 1.8

Cell: 5.074 5.074 5.074 Å, 60.00 60.00 60.00°
Fractional coordinates of all 4 atoms:
Sc1 0.000 0.000 0.000
Sc2 0.250 0.250 0.250
Tl1 0.750 0.750 0.750
As1 0.500 0.500 0.500

3.
Ho2HfTe | PBE-GGA | relaxed

Computed properties:
Uncorrected formation energy, eV/atom: 0.0908
Uncorrected energy, eV for the cell shown: -21.887
Total moment, μB/f.u.: 1.3

Cell: 10.589 10.589 10.589 Å, 19.84 19.84 19.84°
Fractional coordinates of all 4 atoms:
Ho1 0.098 0.098 0.098
Ho2 0.902 0.902 0.902
Hf1 0.000 0.000 0.000
Te1 0.500 0.500 0.500

Among the records above, which one has the highest uncorrected energy?
Sc2TlAs